## 1
Material: Pr5Sm2Y2
Method: DFT, PBE
State: relaxed

Output
D(E_F): 12.9 states/eV/f.u.

Structure (CIF):
```
data_Pr5Sm2Y2
_chemical_formula_sum 'Pr20 Sm8 Y8'
_cell_length_a 15.181
_cell_length_b 12.017
_cell_length_c 6.917
_cell_angle_alpha 90.00
_cell_angle_beta 90.00
_cell_angle_gamma 90.00
_symmetry_space_group_name_H-M 'I m a 2'
_symmetry_Int_Tables_number 46
_symmetry_space_group_name_Hall 'I 2 -2a'
loop_
_atom_site_label
_atom_site_type_symbol
_atom_site_fract_x
_atom_site_fract_y
_atom_site_fract_z
_atom_site_occupancy
Pr1 Pr 0.051 0.238 0.000 1
Pr2 Pr 0.144 0.728 0.668 1
Pr3 Pr 0.250 0.238 0.686 1
Sm1 Sm 0.000 0.000 0.340 1
Sm2 Sm 0.250 0.503 0.877 1
Y1 Y 0.127 0.508 0.332 1
```

=====

## 2
Material: Pr5Sm2Y2
Method: DFT, PBE
State: relaxed

Output
D(E_F): 14.1 states/eV/f.u.

Structure (CIF):
```
data_Pr5Sm2Y2
_chemical_formula_sum 'Pr10 Sm4 Y4'
_cell_length_a 11.609
_cell_length_b 5.186
_cell_length_c 10.987
_cell_angle_alpha 90.00
_cell_angle_beta 108.44
_cell_angle_gamma 90.00
_symmetry_space_group_name_H-M 'C 1 2/m 1'
_symmetry_Int_Tables_number 12
_symmetry_space_group_name_Hall '-C 2y'
loop_
_atom_site_label
_atom_site_type_symbol
_atom_site_fract_x
_atom_site_fract_y
_atom_site_fract_z
_atom_site_occupancy
Pr1 Pr 0.000 0.000 0.000 1
Pr2 Pr 0.166 0.500 0.555 1
Pr3 Pr 0.166 0.500 0.888 1
Sm1 Sm 0.000 0.000 0.333 1
Y1 Y 0.168 0.500 0.223 1
```

=====

What should be chosen as the most stable of them? Choose 2.

=====

## 1
Material: Pr4Sm4Y
Method: DFT, PBE
State: relaxed

Output
D(E_F): 13.4 states/eV/f.u.

Structure (CIF):
```
data_Pr4Sm4Y
_chemical_formula_sum 'Pr8 Sm8 Y2'
_cell_length_a 10.987
_cell_length_b 10.987
_cell_length_c 5.175
_cell_angle_alpha 90.00
_cell_angle_beta 90.00
_cell_angle_gamma 90.00
_symmetry_space_group_name_H-M 'I 4/m m m'
_symmetry_Int_Tables_number 139
_symmetry_space_group_name_Hall '-I 4 2'
loop_
_atom_site_label
_atom_site_type_symbol
_atom_site_fract_x
_atom_site_fract_y
_atom_site_fract_z
_atom_site_occupancy
Pr1 Pr 0.167 0.167 0.000 1
Sm1 Sm 0.000 0.334 0.500 1
Y1 Y 0.000 0.000 0.500 1
```

=====

## 2
Material: Pr4Sm4Y
Method: DFT, PBE
State: relaxed

Output
D(E_F): 15.6 states/eV/f.u.

Structure (CIF):
```
data_Pr4Sm4Y
_chemical_formula_sum 'Pr4 Sm4 Y1'
_cell_length_a 5.706
_cell_length_b 6.978
_cell_length_c 9.024
_cell_angle_alpha 111.53
_cell_angle_beta 108.29
_cell_angle_gamma 90.01
_symmetry_space_group_name_H-M 'P -1'
_symmetry_Int_Tables_number 2
_symmetry_space_group_name_Hall '-P 1'
loop_
_atom_site_label
_atom_site_type_symbol
_atom_site_fract_x
_atom_site_fract_y
_atom_site_fract_z
_atom_site_occupancy
Pr1 Pr 0.133 0.462 0.265 1
Pr2 Pr 0.282 0.209 0.564 1
Sm1 Sm 0.075 0.879 0.147 1
Sm2 Sm 0.371 0.815 0.744 1
Y1 Y 0.500 0.500 0.000 1
```

=====

What should be chosen as the most stable of them? Choose 1.

=====

## 1
Material: Pr2Sm4Y
Method: DFT, PBE
State: relaxed

Output
D(E_F): 9.1 states/eV/f.u.

Structure (CIF):
```
data_Pr2Sm4Y
_chemical_formula_sum 'Pr6 Sm12 Y3'
_cell_length_a 3.6462
_cell_length_b 3.6462
_cell_length_c 62.4351
_cell_angle_alpha 90.00
_cell_angle_beta 90.00
_cell_angle_gamma 120.00
_symmetry_space_group_name_H-M 'R -3 m'
_symmetry_Int_Tables_number 166
_symmetry_space_group_name_Hall '-R 3 2"'
loop_
_atom_site_label
_atom_site_type_symbol
_atom_site_fract_x
_atom_site_fract_y
_atom_site_fract_z
_atom_site_occupancy
Pr1 Pr 0.0000 0.0000 0.0718 1
Sm1 Sm 0.0000 0.0000 0.2133 1
Sm2 Sm 0.0000 0.0000 0.3569 1
Y1 Y 0.0000 0.0000 0.5000 1
```

=====

## 2
Material: Pr2Sm4Y
Method: DFT, PBE
State: relaxed

Output
D(E_F): 9.8 states/eV/f.u.

Structure (CIF):
```
data_Pr2Sm4Y
_chemical_formula_sum 'Pr8 Sm16 Y4'
_cell_length_a 6.641
_cell_length_b 10.957
_cell_length_c 13.493
_cell_angle_alpha 90.00
_cell_angle_beta 90.00
_cell_angle_gamma 90.00
_symmetry_space_group_name_H-M 'C m c e'
_symmetry_Int_Tables_number 64
_symmetry_space_group_name_Hall '-C 2ac 2'
loop_
_atom_site_label
_atom_site_type_symbol
_atom_site_fract_x
_atom_site_fract_y
_atom_site_fract_z
_atom_site_occupancy
Pr1 Pr 0.000 0.168 0.076 1
Sm1 Sm 0.000 0.240 0.338 1
Sm2 Sm 0.250 0.015 0.750 1
Y1 Y 0.000 0.000 0.500 1
```

=====

What should be chosen as the most stable of them? Choose 1.

=====

## 1
Material: Pr2Sm3Y5
Method: DFT, PBE
State: relaxed

Output
D(E_F): 16.1 states/eV/f.u.

Structure (CIF):
```
data_Pr2Sm3Y5
_chemical_formula_sum 'Pr8 Sm12 Y20'
_cell_length_a 9.450
_cell_length_b 22.057
_cell_length_c 6.909
_cell_angle_alpha 90.00
_cell_angle_beta 90.00
_cell_angle_gamma 90.00
_symmetry_space_group_name_H-M 'I b a m'
_symmetry_Int_Tables_number 72
_symmetry_space_group_name_Hall '-I 2 2c'
loop_
_atom_site_label
_atom_site_type_symbol
_atom_site_fract_x
_atom_site_fract_y
_atom_site_fract_z
_atom_site_occupancy
Pr1 Pr 0.103 0.121 0.000 1
Sm1 Sm 0.000 0.000 0.250 1
Sm2 Sm 0.248 0.373 0.000 1
Y1 Y 0.000 0.248 0.250 1
Y2 Y 0.000 0.500 0.250 1
Y3 Y 0.088 0.372 0.500 1
```

=====

## 2
Material: Pr2Sm3Y5
Method: DFT, PBE
State: relaxed

Output
D(E_F): 17.0 states/eV/f.u.

Structure (CIF):
```
data_Pr2Sm3Y5
_chemical_formula_sum 'Pr8 Sm12 Y20'
_cell_length_a 10.766
_cell_length_b 16.555
_cell_length_c 9.320
_cell_angle_alpha 90.00
_cell_angle_beta 125.25
_cell_angle_gamma 90.00
_symmetry_space_group_name_H-M 'C 1 2/c 1'
_symmetry_Int_Tables_number 15
_symmetry_space_group_name_Hall '-C 2yc'
loop_
_atom_site_label
_atom_site_type_symbol
_atom_site_fract_x
_atom_site_fract_y
_atom_site_fract_z
_atom_site_occupancy
Pr1 Pr 0.146 0.124 0.044 1
Sm1 Sm 0.000 0.274 0.750 1
Sm2 Sm 0.151 0.376 0.548 1
Y1 Y 0.000 0.026 0.250 1
Y2 Y 0.000 0.227 0.250 1
Y3 Y 0.000 0.474 0.750 1
Y4 Y 0.245 0.379 0.245 1
```

=====

What should be chosen as the most stable of them? Choose 2.

=====

## 1
Material: Pr7SmY4
Method: DFT, PBE
State: relaxed

Output
D(E_F): 24.5 states/eV/f.u.

Structure (CIF):
```
data_Pr7SmY4
_chemical_formula_sum 'Pr14 Sm2 Y8'
_cell_length_a 18.934
_cell_length_b 7.299
_cell_length_c 6.126
_cell_angle_alpha 90.00
_cell_angle_beta 90.71
_cell_angle_gamma 90.00
_symmetry_space_group_name_H-M 'C 1 2/m 1'
_symmetry_Int_Tables_number 12
_symmetry_space_group_name_Hall '-C 2y'
loop_
_atom_site_label
_atom_site_type_symbol
_atom_site_fract_x
_atom_site_fract_y
_atom_site_fract_z
_atom_site_occupancy
Pr1 Pr 0.000 0.000 0.000 1
Pr2 Pr 0.035 0.500 0.252 1
Pr3 Pr 0.188 0.000 0.251 1
Pr4 Pr 0.209 0.500 0.244 1
Sm1 Sm 0.000 0.000 0.500 1
Y1 Y 0.137 0.269 0.745 1
```

=====

## 2
Material: Pr7SmY4
Method: DFT, PBE
State: relaxed

Output
D(E_F): 19.9 states/eV/f.u.

Structure (CIF):
```
data_Pr7SmY4
_chemical_formula_sum 'Pr14 Sm2 Y8'
_cell_length_a 16.396
_cell_length_b 6.081
_cell_length_c 9.530
_cell_angle_alpha 90.00
_cell_angle_beta 116.53
_cell_angle_gamma 90.00
_symmetry_space_group_name_H-M 'C 1 2/m 1'
_symmetry_Int_Tables_number 12
_symmetry_space_group_name_Hall '-C 2y'
loop_
_atom_site_label
_atom_site_type_symbol
_atom_site_fract_x
_atom_site_fract_y
_atom_site_fract_z
_atom_site_occupancy
Pr1 Pr 0.000 0.000 0.000 1
Pr2 Pr 0.085 0.500 0.448 1
Pr3 Pr 0.210 0.500 0.234 1
Pr4 Pr 0.212 0.500 0.883 1
Sm1 Sm 0.000 0.500 0.000 1
Y1 Y 0.072 0.000 0.699 1
Y2 Y 0.170 0.000 0.386 1
```

=====

What should be chosen as the most stable of them? Choose 1.

=====

## 1
Material: PrSm6Y12
Method: DFT, PBE
State: relaxed

Output
D(E_F): 26.7 states/eV/f.u.

Structure (CIF):
```
data_PrSm6Y12
_chemical_formula_sum 'Pr3 Sm18 Y36'
_cell_length_a 15.6710
_cell_length_b 15.6710
_cell_length_c 8.8084
_cell_angle_alpha 90.00
_cell_angle_beta 90.00
_cell_angle_gamma 120.00
_symmetry_space_group_name_H-M 'R -3'
_symmetry_Int_Tables_number 148
_symmetry_space_group_name_Hall '-R 3'
loop_
_atom_site_label
_atom_site_type_symbol
_atom_site_fract_x
_atom_site_fract_y
_atom_site_fract_z
_atom_site_occupancy
Pr1 Pr 0.0000 0.0000 0.0000 1
Sm1 Sm 0.0355 0.2807 0.3332 1
Y1 Y 0.0174 0.1405 0.6660 1
Y2 Y 0.0699 0.5612 0.6674 1
```

=====

## 2
Material: PrSm6Y12
Method: DFT, PBE
State: relaxed

Output
D(E_F): 39.3 states/eV/f.u.

Structure (CIF):
```
data_PrSm6Y12
_chemical_formula_sum 'Pr3 Sm18 Y36'
_cell_length_a 12.2753
_cell_length_b 12.2753
_cell_length_c 14.7201
_cell_angle_alpha 90.00
_cell_angle_beta 90.00
_cell_angle_gamma 120.00
_symmetry_space_group_name_H-M 'R -3'
_symmetry_Int_Tables_number 148
_symmetry_space_group_name_Hall '-R 3'
loop_
_atom_site_label
_atom_site_type_symbol
_atom_site_fract_x
_atom_site_fract_y
_atom_site_fract_z
_atom_site_occupancy
Pr1 Pr 0.0000 0.0000 0.0000 1
Sm1 Sm 0.0284 0.4484 0.7199 1
Y1 Y 0.0560 0.1855 0.8013 1
Y2 Y 0.0700 0.8705 0.4052 1
```

=====

What should be chosen as the most stable of them? Choose 1.

=====

## 1
Material: Pr5Sm2Y4
Method: DFT, PBE
State: relaxed

Output
D(E_F): 16.9 states/eV/f.u.

Structure (CIF):
```
data_Pr5Sm2Y4
_chemical_formula_sum 'Pr10 Sm4 Y8'
_cell_length_a 23.979
_cell_length_b 3.644
_cell_length_c 8.933
_cell_angle_alpha 90.00
_cell_angle_beta 104.30
_cell_angle_gamma 90.00
_symmetry_space_group_name_H-M 'C 1 2/m 1'
_symmetry_Int_Tables_number 12
_symmetry_space_group_name_Hall '-C 2y'
loop_
_atom_site_label
_atom_site_type_symbol
_atom_site_fract_x
_atom_site_fract_y
_atom_site_fract_z
_atom_site_occupancy
Pr1 Pr 0.000 0.000 0.000 1
Pr2 Pr 0.136 0.500 0.092 1
Pr3 Pr 0.227 0.500 0.814 1
Sm1 Sm 0.090 0.000 0.723 1
Y1 Y 0.046 0.500 0.366 1
Y2 Y 0.181 0.000 0.455 1
```

=====

## 2
Material: Pr5Sm2Y4
Method: DFT, PBE
State: relaxed

Output
D(E_F): 17.4 states/eV/f.u.

Structure (CIF):
```
data_Pr5Sm2Y4
_chemical_formula_sum 'Pr10 Sm4 Y8'
_cell_length_a 3.578
_cell_length_b 9.289
_cell_length_c 23.792
_cell_angle_alpha 90.00
_cell_angle_beta 90.00
_cell_angle_gamma 90.00
_symmetry_space_group_name_H-M 'I m m m'
_symmetry_Int_Tables_number 71
_symmetry_space_group_name_Hall '-I 2 2'
loop_
_atom_site_label
_atom_site_type_symbol
_atom_site_fract_x
_atom_site_fract_y
_atom_site_fract_z
_atom_site_occupancy
Pr1 Pr 0.000 0.000 0.000 1
Pr2 Pr 0.000 0.300 0.354 1
Sm1 Sm 0.000 0.500 0.232 1
Y1 Y 0.000 0.187 0.500 1
Y2 Y 0.000 0.500 0.097 1
```

=====

What should be chosen as the most stable of them? Choose 1.

=====

## 1
Material: Pr7Sm3Y
Method: DFT, PBE
State: relaxed

Output
D(E_F): 17.2 states/eV/f.u.

Structure (CIF):
```
data_Pr7Sm3Y
_chemical_formula_sum 'Pr28 Sm12 Y4'
_cell_length_a 19.572
_cell_length_b 7.299
_cell_length_c 12.759
_cell_angle_alpha 90.00
_cell_angle_beta 116.05
_cell_angle_gamma 90.00
_symmetry_space_group_name_H-M 'C 1 2/c 1'
_symmetry_Int_Tables_number 15
_symmetry_space_group_name_Hall '-C 2yc'
loop_
_atom_site_label
_atom_site_type_symbol
_atom_site_fract_x
_atom_site_fract_y
_atom_site_fract_z
_atom_site_occupancy
Pr1 Pr 0.000 0.217 0.250 1
Pr2 Pr 0.158 0.496 0.774 1
Pr3 Pr 0.167 0.247 0.028 1
Pr4 Pr 0.168 0.249 0.530 1
Sm1 Sm 0.000 0.500 0.000 1
Sm2 Sm 0.169 0.001 0.274 1
Y1 Y 0.000 0.000 0.000 1
```

=====

## 2
Material: Pr7Sm3Y
Method: DFT, PBE
State: relaxed

Output
D(E_F): 16.2 states/eV/f.u.

Structure (CIF):
```
data_Pr7Sm3Y
_chemical_formula_sum 'Pr14 Sm6 Y2'
_cell_length_a 6.016
_cell_length_b 11.482
_cell_length_c 11.552
_cell_angle_alpha 90.00
_cell_angle_beta 90.00
_cell_angle_gamma 90.00
_symmetry_space_group_name_H-M 'I m m m'
_symmetry_Int_Tables_number 71
_symmetry_space_group_name_Hall '-I 2 2'
loop_
_atom_site_label
_atom_site_type_symbol
_atom_site_fract_x
_atom_site_fract_y
_atom_site_fract_z
_atom_site_occupancy
Pr1 Pr 0.000 0.000 0.000 1
Pr2 Pr 0.000 0.206 0.304 1
Pr3 Pr 0.000 0.500 0.209 1
Sm1 Sm 0.000 0.000 0.500 1
Sm2 Sm 0.000 0.293 0.000 1
Y1 Y 0.000 0.500 0.500 1
```

=====

What should be chosen as the most stable of them? Choose 1.

=====

## 1
Material: Pr3Sm2Y
Method: DFT, PBE
State: relaxed

Output
D(E_F): 9.2 states/eV/f.u.

Structure (CIF):
```
data_Pr3Sm2Y
_chemical_formula_sum 'Pr6 Sm4 Y2'
_cell_length_a 8.662
_cell_length_b 3.760
_cell_length_c 12.955
_cell_angle_alpha 90.00
_cell_angle_beta 90.05
_cell_angle_gamma 90.00
_symmetry_space_group_name_H-M 'P 1 21/m 1'
_symmetry_Int_Tables_number 11
_symmetry_space_group_name_Hall '-P 2yb'
loop_
_atom_site_label
_atom_site_type_symbol
_atom_site_fract_x
_atom_site_fract_y
_atom_site_fract_z
_atom_site_occupancy
Pr1 Pr 0.088 0.250 0.390 1
Pr2 Pr 0.346 0.750 0.946 1
Pr3 Pr 0.395 0.750 0.252 1
Sm1 Sm 0.083 0.250 0.109 1
Sm2 Sm 0.351 0.750 0.551 1
Y1 Y 0.190 0.250 0.748 1
```

=====

## 2
Material: Pr3Sm2Y
Method: DFT, PBE
State: relaxed

Output
D(E_F): 10.3 states/eV/f.u.

Structure (CIF):
```
data_Pr3Sm2Y
_chemical_formula_sum 'Pr12 Sm8 Y4'
_cell_length_a 13.493
_cell_length_b 3.591
_cell_length_c 17.949
_cell_angle_alpha 90.00
_cell_angle_beta 102.33
_cell_angle_gamma 90.00
_symmetry_space_group_name_H-M 'C 1 2/m 1'
_symmetry_Int_Tables_number 12
_symmetry_space_group_name_Hall '-C 2y'
loop_
_atom_site_label
_atom_site_type_symbol
_atom_site_fract_x
_atom_site_fract_y
_atom_site_fract_z
_atom_site_occupancy
Pr1 Pr 0.065 0.000 0.167 1
Pr2 Pr 0.126 0.500 0.991 1
Pr3 Pr 0.230 0.500 0.336 1
Sm1 Sm 0.132 0.500 0.500 1
Sm2 Sm 0.198 0.000 0.835 1
Y1 Y 0.042 0.500 0.680 1
```

=====

What should be chosen as the most stable of them? Choose 1.